(1)
! NdYTmHg, optimized geometry, DFT PBE; values from VASP
! **Formation enthalpy at 0 K**: -243 meV per atom
! **SG**: P4mm (99)
! **Crystal system**: tetragonal
! **Polymorph energy (0 for the lowest one)**: 0 meV/atom
&SYSTEM
  ibrav = 0, nat = 4, ntyp = 4
/
ATOMIC_SPECIES
Nd 144.24 Nd.upf
Y 88.91 Y.upf
Tm 168.93 Tm.upf
Hg 200.59 Hg.upf
CELL_PARAMETERS angstrom
3.625 0.000 0.000
0.000 3.625 0.000
0.000 0.000 8.927
ATOMIC_POSITIONS angstrom
Nd 0.000 0.000 0.000
Y 1.813 1.813 6.358
Tm 1.813 1.813 2.506
Hg 0.000 0.000 4.367

***

(2)
! WS3, optimized geometry, DFT PBE; values from VASP
! **SG**: Imm2 (44)
! **Crystal system**: orthorhombic
! **E_form (uncorrected)**: -353 meV/atom
&SYSTEM
  ibrav = 0, nat = 4, ntyp = 2
/
ATOMIC_SPECIES
W 183.84 W.upf
S 32.06 S.upf
CELL_PARAMETERS angstrom
-1.464 5.559 3.364
1.464 -5.559 3.364
1.464 5.559 -3.364
ATOMIC_POSITIONS angstrom
W 0.000 0.000 0.000
S 1.464 1.622 -0.938
S 1.464 0.000 1.875
S 0.000 3.938 2.427

***

(3)
! Cu2PN, optimized geometry, DFT PBE; values from VASP
! **SG**: Fm-3m (225)
! **Crystal system**: cubic
! **E_form (uncorrected)**: 943 meV/atom
! **Polymorph energy (0 for the lowest one)**: 354 meV/atom
&SYSTEM
  ibrav = 0, nat = 4, ntyp = 3
/
ATOMIC_SPECIES
Cu 63.55 Cu.upf
P 30.97 P.upf
N 14.01 N.upf
CELL_PARAMETERS angstrom
0.000 2.825 2.825
2.825 0.000 2.825
2.825 2.825 0.000
ATOMIC_POSITIONS angstrom
Cu 1.412 1.412 1.412
Cu 4.237 4.237 4.237
P 0.000 0.000 0.000
N 2.825 2.825 2.825

***

(4)
! AgWAu2, optimized geometry, DFT PBE; values from VASP
! **Formation enthalpy at 0 K**: 320 meV per atom
! **SG**: R3m (160)
! **Crystal system**: trigonal
! **Polymorph energy (0 for the lowest one)**: 91 meV/atom
&SYSTEM
  ibrav = 0, nat = 4, ntyp = 3
/
ATOMIC_SPECIES
Ag 107.87 Ag.upf
W 183.84 W.upf
Au 196.97 Au.upf
CELL_PARAMETERS angstrom
1.449 0.836 9.552
-1.449 0.836 9.552
0.000 -1.673 9.552
ATOMIC_POSITIONS angstrom
Ag 0.000 0.000 0.000
W 0.000 0.000 7.168
Au 0.000 0.000 14.429
Au 0.000 0.000 21.523